# SrLaY2 GGA-PBE optimized geometry
data_SrLaY2
_chemical_formula_sum 'Sr2 La2 Y4'
_cell_length_a 4.147
_cell_length_b 5.972
_cell_length_c 12.247
_cell_angle_alpha 90.00
_cell_angle_beta 90.00
_cell_angle_gamma 90.00
_space_group_name_H-M_alt 'C m m 2'
_space_group_IT_number 35
loop_
_space_group_symop_operation_xyz
'x,y,z'
'-x,-y,z'
'-x,y,z'
'x,-y,z'
'x+1/2,y+1/2,z'
'-x+1/2,-y+1/2,z'
'-x+1/2,y+1/2,z'
'x+1/2,-y+1/2,z'
loop_
_atom_site_label
_atom_site_type_symbol
_atom_site_fract_x
_atom_site_fract_y
_atom_site_fract_z
_atom_site_occupancy
Sr1 Sr 0.000 0.000 0.000 1
La1 La 0.000 0.500 0.719 1
Y1 Y 0.000 0.000 0.484 1
Y2 Y 0.000 0.500 0.263 1
# - energy above the most stable polymorph in this dataset (meV per atom) = 55
# - energy relative to the elements (eV per atom) = 0.162